BaWS2Cl | PBE | relaxed

Values from the calculation:
formation energy (no corrections)	1044	meV/atom
energy relative to the lowest polymorph listed for this composition	2011	meV/atom
size of the total moment	2.98	μB per formula unit
E_tot	-0.2904	Ry per atom
DOS(E_F)	1.069	states/eV per atom

Cell and atoms, written as CIF:
```
data_BaWS2Cl
_cell_length_a 5.962
_cell_length_b 5.962
_cell_length_c 5.677
_cell_angle_alpha 90.00
_cell_angle_beta 90.00
_cell_angle_gamma 90.00
_symmetry_space_group_name_H-M 'P 4/m m m'
_symmetry_Int_Tables_number 123
_symmetry_space_group_name_Hall '-P 4 2'
loop_
_atom_site_label
_atom_site_type_symbol
_atom_site_fract_x
_atom_site_fract_y
_atom_site_fract_z
_atom_site_occupancy
Ba1 Ba 0.000 0.000 0.000 1
W1 W 0.500 0.500 0.500 1
S1 S 0.000 0.500 0.000 1
Cl1 Cl 0.000 0.000 0.500 1
```